# BaAsOs | Alexandria | GGA-PBE | optimized geometry
data_BaAsOs
_symmetry_space_group_name_H-M 'P 1'
_symmetry_Int_Tables_number 1
_cell_length_a 4.214
_cell_length_b 4.214
_cell_length_c 5.103
_cell_angle_alpha 90.00
_cell_angle_beta 90.00
_cell_angle_gamma 120.00
loop_
_symmetry_equiv_pos_as_xyz
'x,y,z'
loop_
_atom_site_label
_atom_site_fract_x
_atom_site_fract_y
_atom_site_fract_z
_atom_site_occupancy
As1 0.000 0.000 0.833 1
Os1 0.333 0.667 0.833 1
Ba1 0.667 0.333 0.333 1
# energy of formation: -0.1479 eV per atom
# volume: 78.48 Å³ per cell
# total magnetization: 0.00 Bohr magnetons per cell